PmYTe2, optimized geometry, DFT PBE; ΔE_f (raw) = -1.39 eV/atom
1.0
4.286 0.000 0.000
-2.143 3.712 0.000
0.000 0.000 23.056
Pm Y Te
3 3 6
Cartesian
0.000 0.000 0.000
0.000 2.474 15.371
2.143 1.237 7.685
0.000 0.000 4.018
0.000 2.474 19.389
2.143 1.237 11.704
0.000 0.000 13.458
0.000 0.000 17.450
0.000 2.474 5.772
0.000 2.474 9.765
2.143 1.237 2.080
2.143 1.237 21.143

---

TbNd4Tm2, optimized geometry, DFT PBE; formation energy from the elements = 0.0599 eV per atom
1.0
0.000 12.137 3.230
5.993 0.000 3.230
5.993 12.137 0.000
Tb Nd Tm
2 8 4
Cartesian
0.000 0.000 0.000
2.996 6.068 1.615
2.164 2.579 1.386
5.161 3.490 3.001
3.828 9.558 1.386
6.616 10.423 3.195
5.369 13.851 3.195
8.366 16.491 4.811
6.824 20.784 3.001
9.612 19.919 4.811
6.291 6.886 2.841
8.690 12.954 4.456
5.694 17.388 2.841
3.295 11.319 4.456

---

HgAs2, optimized geometry, DFT PBE; formation energy from the elements = 0.5116 eV per atom
1.0
5.156 0.000 0.000
-2.578 4.465 0.000
0.000 0.000 5.611
Hg As
2 4
Cartesian
0.000 2.977 1.403
2.578 1.488 4.209
0.000 0.000 0.000
0.000 0.000 2.806
0.000 2.977 4.209
2.578 1.488 1.403

---

KHg3Pt, optimized geometry, DFT PBE; formation energy from the elements = -0.1664 eV per atom
1.0
6.498 0.000 0.000
2.538 6.725 0.000
2.303 -0.084 6.929
K Hg Pt
2 6 2
Cartesian
0.000 0.000 0.000
4.785 3.525 3.467
5.717 2.056 6.857
3.733 0.144 2.552
7.894 5.848 5.552
7.918 2.758 4.974
6.893 3.718 0.510
7.141 0.095 3.275
2.014 2.242 2.309
7.934 4.775 2.861

---

Al2HgGe2, optimized geometry, DFT PBE; formation energy from the elements = 0.1782 eV per atom
1.0
8.259 0.000 0.000
0.000 8.259 0.000
0.000 0.000 2.893
Al Hg Ge
4 2 4
Cartesian
1.194 2.935 0.000
2.935 7.065 0.000
5.324 1.194 0.000
7.065 5.324 0.000
0.000 0.000 1.446
4.130 4.130 1.446
1.238 5.368 1.446
2.892 1.238 1.446
5.368 7.022 1.446
7.022 2.892 1.446

---

AcThGaOs, optimized geometry, DFT PBE; formation energy from the elements = -0.0762 eV per atom
1.0
7.407 0.000 0.000
0.000 7.407 0.000
0.000 0.000 7.407
Ac Th Ga Os
4 4 4 4
Cartesian
0.000 0.000 0.000
0.000 3.704 3.704
3.704 0.000 3.704
3.704 3.704 0.000
0.000 0.000 3.704
0.000 3.704 0.000
3.704 0.000 0.000
3.704 3.704 3.704
1.852 1.852 1.852
1.852 5.555 5.555
5.555 1.852 5.555
5.555 5.555 1.852
1.852 1.852 5.555
1.852 5.555 1.852
5.555 1.852 1.852
5.555 5.555 5.555

---

CaPbC3, optimized geometry, DFT PBE; formation energy from the elements = 2.9129 eV per atom
1.0
4.543 0.000 0.000
0.000 4.543 0.000
0.000 0.000 4.543
Ca Pb C
1 1 3
Cartesian
0.000 0.000 0.000
2.272 2.272 2.272
0.000 0.000 2.272
0.000 2.272 0.000
2.272 0.000 0.000

---

Pu5In2Pd4, optimized geometry, DFT PBE; formation energy from the elements = 0.0840 eV per atom
1.0
-1.573 5.318 7.096
1.573 -5.318 7.096
1.573 5.318 -7.096
Pu In Pd
5 2 4
Cartesian
0.000 0.000 0.000
1.573 2.739 -2.715
1.573 2.739 2.715
0.000 2.579 4.381
0.000 2.579 9.810
1.573 0.000 5.540
0.000 5.318 1.556
1.573 0.000 2.666
1.573 3.248 0.000
0.000 2.070 7.096
0.000 5.318 4.429

---

K2Pu2Cl7, optimized geometry, DFT PBE; ΔE_f (raw) = -1.93 eV/atom
1.0
4.547 -5.194 0.000
4.547 5.194 0.000
0.000 0.000 7.382
K Pu Cl
2 2 7
Cartesian
2.245 0.000 0.000
6.849 0.000 0.000
4.547 2.310 3.691
4.547 -2.310 3.691
0.000 0.000 3.691
2.274 2.597 1.932
2.274 2.597 5.450
2.274 -2.597 1.932
2.274 -2.597 5.450
4.547 0.000 2.023
4.547 0.000 5.359

---

AlSiH9C3Cl2O, optimized geometry, DFT PBE; calculated total energy = -5.17 eV/atom
1.0
7.151 0.000 0.000
0.000 9.478 0.000
-4.041 0.000 15.227
Al Si H C Cl O
4 4 36 12 8 4
Cartesian
-1.515 0.661 6.549
-3.535 4.078 14.163
6.646 5.401 1.064
4.625 8.817 8.678
-1.136 2.197 9.404
0.884 2.542 1.791
2.226 6.936 13.436
4.247 7.282 5.823
-0.339 0.501 2.447
-2.359 4.238 10.061
-1.105 5.843 6.742
-3.126 8.374 14.356
-0.576 6.637 5.232
-2.597 7.581 12.845
-1.587 0.899 11.484
0.434 3.840 3.871
-1.954 1.319 15.204
0.066 3.420 7.591
-0.419 2.200 11.764
1.601 2.539 4.150
0.106 0.705 10.950
2.126 4.035 3.336
2.674 0.863 1.585
0.653 3.876 9.199
1.170 2.334 8.475
3.190 2.405 0.862
-0.080 7.074 14.366
1.941 7.144 6.752
2.457 5.602 6.028
0.437 8.616 13.642
0.984 5.444 11.891
3.005 8.774 4.277
1.509 6.939 11.077
3.529 7.279 3.463
3.044 6.058 7.636
5.065 8.159 0.023
2.677 5.638 11.357
4.697 8.579 3.743
5.707 1.897 2.382
3.686 2.842 9.995
6.236 1.104 0.871
4.216 3.635 8.485
5.470 5.241 5.167
3.449 8.977 12.780
-1.422 6.147 5.734
-3.442 8.071 13.347
-0.722 1.421 11.048
1.298 3.318 3.435
2.342 1.715 0.972
0.322 3.025 8.585
2.789 6.454 6.642
0.768 7.764 14.256
1.812 6.160 11.792
3.832 8.057 4.179
6.552 1.407 1.880
4.532 3.332 9.493
0.558 6.920 2.081
-1.462 7.297 9.694
0.408 0.249 5.772
-1.612 4.490 13.386
4.723 4.988 1.841
2.702 9.230 9.455
4.572 2.181 5.533
2.552 2.558 13.146
-1.580 0.875 8.366
0.440 3.864 0.752
2.670 5.614 14.475
4.691 8.603 6.862

---

Y2Sc3Se6, optimized geometry, DFT PBE; ΔE_f (raw) = -1.77 eV/atom
1.0
3.409 -5.878 0.000
3.409 5.878 0.000
-2.272 0.000 6.500
Y Sc Se
2 3 6
Cartesian
3.409 3.934 0.000
3.409 -3.934 0.000
-1.136 0.000 3.250
2.273 1.959 3.250
2.273 -1.959 3.250
0.024 1.920 4.801
1.193 0.000 1.684
0.024 -1.920 4.801
4.521 1.920 1.699
3.352 0.000 4.816
4.521 -1.920 1.699